Entry from Alexandria via LeMat-Bulk: a relaxed structure of Ta2RhBr (GGA-PBE).

Summary:
V = 16.88 A^3/atom
Raw formation energy = 299 meV per atom
Crystal system = tetragonal
Calculated density = 13.40 Mg/m³

Structure (CIF):
```
data_Ta2RhBr
_chemical_formula_sum 'Ta2 Rh1 Br1'
_cell_length_a 4.775
_cell_length_b 4.775
_cell_length_c 2.960
_cell_angle_alpha 90.00
_cell_angle_beta 90.00
_cell_angle_gamma 90.00
_symmetry_space_group_name_H-M 'P 4/m m m'
_symmetry_Int_Tables_number 123
_symmetry_space_group_name_Hall '-P 4 2'
loop_
_atom_site_label
_atom_site_type_symbol
_atom_site_fract_x
_atom_site_fract_y
_atom_site_fract_z
Ta1 Ta 0.000 0.500 0.000
Rh1 Rh 0.000 0.000 0.500
Br1 Br 0.500 0.500 0.500
```

=====

Entry from Alexandria via LeMat-Bulk: a relaxed structure of Ce3Zn7Cd2 (GGA-PBE).

Summary:
V = 20.20 A^3/atom
Crystal system = trigonal
Calculated density = 7.56 Mg/m³
ΔH_f (0 K) = -0.20 eV/atom

Structure (CIF):
```
data_Ce3Zn7Cd2
_chemical_formula_sum 'Ce9 Zn21 Cd6'
_cell_length_a 5.5609
_cell_length_b 5.5609
_cell_length_c 27.1562
_cell_angle_alpha 90.00
_cell_angle_beta 90.00
_cell_angle_gamma 120.00
_symmetry_space_group_name_H-M 'R -3 m'
_symmetry_Int_Tables_number 166
_symmetry_space_group_name_Hall '-R 3 2"'
loop_
_atom_site_label
_atom_site_type_symbol
_atom_site_fract_x
_atom_site_fract_y
_atom_site_fract_z
Ce1 Ce 0.0000 0.0000 0.0000
Ce2 Ce 0.0000 0.0000 0.1464
Zn1 Zn 0.0000 0.0000 0.5000
Zn2 Zn 0.0064 0.5032 0.9138
Cd1 Cd 0.0000 0.0000 0.3357
```

=====

Entry from Alexandria via LeMat-Bulk: a relaxed structure of YPtOF2 (GGA-PBE).

Summary:
V = 15.74 A^3/atom
Raw formation energy = -1156 meV per atom
Crystal system = tetragonal
Calculated density = 7.13 Mg/m³

Structure (CIF):
```
data_YPtOF2
_chemical_formula_sum 'Y1 Pt1 O1 F2'
_cell_length_a 4.413
_cell_length_b 4.413
_cell_length_c 4.042
_cell_angle_alpha 90.00
_cell_angle_beta 90.00
_cell_angle_gamma 90.00
_symmetry_space_group_name_H-M 'P 4/m m m'
_symmetry_Int_Tables_number 123
_symmetry_space_group_name_Hall '-P 4 2'
loop_
_atom_site_label
_atom_site_type_symbol
_atom_site_fract_x
_atom_site_fract_y
_atom_site_fract_z
Y1 Y 0.000 0.000 0.000
Pt1 Pt 0.500 0.500 0.500
O1 O 0.500 0.500 0.000
F1 F 0.000 0.500 0.500
```

=====

Entry from Alexandria via LeMat-Bulk: a relaxed structure of Be9NbMo2 (GGA-PBE).

Summary:
V = 9.97 A^3/atom
Crystal system = hexagonal
Calculated density = 5.08 Mg/m³
ΔH_f (0 K) = -0.27 eV/atom

Structure (CIF):
```
data_Be9NbMo2
_chemical_formula_sum 'Be18 Nb2 Mo4'
_cell_length_a 4.4515
_cell_length_b 4.4515
_cell_length_c 13.9499
_cell_angle_alpha 90.00
_cell_angle_beta 90.00
_cell_angle_gamma 120.00
_symmetry_space_group_name_H-M 'P 63/m m c'
_symmetry_Int_Tables_number 194
_symmetry_space_group_name_Hall '-P 6c 2c'
loop_
_atom_site_label
_atom_site_type_symbol
_atom_site_fract_x
_atom_site_fract_y
_atom_site_fract_z
Be1 Be 0.0000 0.0000 0.0000
Be2 Be 0.0000 0.0000 0.2500
Be3 Be 0.1692 0.3384 0.1270
Be4 Be 0.3333 0.6667 0.2500
Nb1 Nb 0.3333 0.6667 0.7500
Mo1 Mo 0.3333 0.6667 0.5341
```

=====

Entry from Alexandria via LeMat-Bulk: a relaxed structure of NdTlPd2 (GGA-PBE).

Summary:
V = 21.64 A^3/atom
Crystal system = tetragonal
Calculated density = 10.77 Mg/m³
ΔH_f (0 K) = -0.49 eV/atom

Structure (CIF):
```
data_NdTlPd2
_chemical_formula_sum 'Nd1 Tl1 Pd2'
_cell_length_a 4.787
_cell_length_b 4.787
_cell_length_c 3.778
_cell_angle_alpha 90.00
_cell_angle_beta 90.00
_cell_angle_gamma 90.00
_symmetry_space_group_name_H-M 'P 4/m m m'
_symmetry_Int_Tables_number 123
_symmetry_space_group_name_Hall '-P 4 2'
loop_
_atom_site_label
_atom_site_type_symbol
_atom_site_fract_x
_atom_site_fract_y
_atom_site_fract_z
Nd1 Nd 0.000 0.000 0.000
Tl1 Tl 0.500 0.500 0.000
Pd1 Pd 0.000 0.500 0.500
```